# 1
The following is a PBE-GGA calculation of a relaxed structure of La4AgIr2, from Alexandria via LeMat-Bulk.

Results
energy relative to the lowest polymorph listed for this composition	0.0000	eV/atom
ΔE_f	-0.564	eV per atom

Lattice parameters (Å, degrees): 4.2615 4.2615 14.2855 81.42 81.42 60.00
Closest atoms and distances in Å follow each position.
Fractional positions:
La 0.8762 0.8762 0.3714  3 Ir 2.86
La 0.2814 0.2814 0.1558  3 Ir 2.92
La 0.7186 0.7186 0.8442  3 Ir 2.92
Ag 0.0000 0.0000 0.0000  6 La 3.30
Ir 0.5776 0.5776 0.2672  6 La 2.86-2.92
La 0.1238 0.1238 0.6286  3 Ir 2.86
Ir 0.4224 0.4224 0.7328  6 La 2.86-2.92

# 2
The following is a PBE-GGA calculation of a relaxed structure of Nd4Sn2Ru, from Alexandria via LeMat-Bulk.

Results
ΔE_f	-0.539	eV per atom

Lattice parameters (Å, degrees): 4.8261 6.2318 7.7611 79.28 71.89 67.22
Closest atoms and distances in Å follow each position.
Fractional positions:
Nd 0.0680 0.2206 0.6433  1 Ru 2.83
Sn 0.6627 0.3476 0.3271  8 Nd 3.20-3.48, 1 Sn 3.20, 1 Ru 3.25
Sn 0.3373 0.6524 0.6729  8 Nd 3.20-3.48, 1 Sn 3.20, 1 Ru 3.25
Ru 0.0000 0.0000 0.0000  6 Nd 2.83-2.95
Nd 0.6674 0.7153 0.9498  2 Ru 2.95, 2 Sn 3.20
Nd 0.3326 0.2847 0.0502  2 Ru 2.95, 2 Sn 3.20
Nd 0.9320 0.7794 0.3567  1 Ru 2.83

# 3
The following is a PBE-GGA calculation of a relaxed structure of NbAsO4, from Alexandria via LeMat-Bulk.

Results
raw formation energy	-1.95	eV/atom

Lattice parameters (Å, degrees): 5.0400 5.5761 12.0397 90.00 90.00 90.00
Closest atoms and distances in Å follow each position.
Fractional positions:
O 0.3381 0.3421 0.3457  1 As 1.81, 1 Nb 1.97
O 0.2887 0.0844 0.5591  1 Nb 1.89
O 0.8381 0.1579 0.8457  1 As 1.81, 1 Nb 1.97
As 0.9052 0.5676 0.7435  3 O 1.81-1.92
O 0.8291 0.8550 0.6653  2 As 1.90-1.92
As 0.5948 0.0676 0.7435  3 O 1.81-1.92
As 0.0948 0.4324 0.2435  3 O 1.81-1.92
Nb 0.4824 0.3932 0.4959  3 O 1.86-1.97
O 0.2718 0.3685 0.9627  1 Nb 1.86
O 0.6709 0.3550 0.6653  2 As 1.90-1.92
O 0.3291 0.6450 0.1653  2 As 1.90-1.92
O 0.2282 0.8685 0.9627  1 Nb 1.86
As 0.4052 0.9324 0.2435  3 O 1.81-1.92
O 0.7887 0.4156 0.0591  1 Nb 1.89
O 0.7113 0.9156 0.0591  1 Nb 1.89
Nb 0.5176 0.6068 0.9959  3 O 1.86-1.97
O 0.7282 0.6315 0.4627  1 Nb 1.86
O 0.2113 0.5844 0.5591  1 Nb 1.89
Nb 0.9824 0.1068 0.9959  3 O 1.86-1.97
Nb 0.0176 0.8932 0.4959  3 O 1.86-1.97
O 0.1619 0.8421 0.3457  1 As 1.81, 1 Nb 1.97
O 0.7718 0.1315 0.4627  1 Nb 1.86
O 0.1709 0.1450 0.1653  2 As 1.90-1.92
O 0.6619 0.6579 0.8457  1 As 1.81, 1 Nb 1.97

# 4
The following is a PBE-GGA calculation of a relaxed structure of KSn2IrSe, from Alexandria via LeMat-Bulk.

Results
raw formation energy	1.82	eV/atom

Lattice parameters (Å, degrees): 5.7588 5.3102 5.7588 90.00 90.00 90.00
Closest atoms and distances in Å follow each position.
Fractional positions:
Sn 0.0000 0.0000 0.5000  2 K 2.88
Se 0.0000 0.5000 0.0000  2 K 2.66
Ir 0.5000 0.5000 0.5000  8 Sn 3.92, 4 Se 4.07
K 0.0000 0.0000 0.0000  2 Se 2.66, 4 Sn 2.88
Sn 0.5000 0.0000 0.0000  2 K 2.88

no.,D(E_F) (states/eV per cell)
1,4.509
2,5.949
3,0.000
4,4.949